{"formula": "LiSmTlAu", "functional": "PBE", "state": "relaxed", "e_form_mev_per_atom": -486, "magmom_total_mub_per_cell": 0.00, "energy_ev_per_cell": -14.22, "cell": [[-1.5714, -2.1587, 4.3004], [-4.4835, -2.3440, 0.1642], [-0.2069, -5.0440, 0.3716]], "species": ["Tl", "Au", "Sm", "Li"], "fractional_positions": [[0.5000, 0.5000, 0.5000], [0.0000, 0.0000, 0.0000], [0.7500, 0.7500, 0.7500], [0.2500, 0.2500, 0.2500]]}

{"formula": "LiSmTm2Au4", "functional": "PBE", "state": "relaxed", "e_form_mev_per_atom": -768, "magmom_total_mub_per_cell": 0.00, "energy_ev_per_cell": -34.83, "cell": [[4.9446, 0.0000, 0.0000], [2.4723, 4.2821, 0.0000], [2.4723, 1.4274, 8.2727]], "species": ["Li", "Sm", "Tm", "Tm", "Au", "Au", "Au", "Au"], "fractional_positions": [[0.5000, 0.5000, 0.5000], [0.0000, 0.0000, 0.0000], [0.7592, 0.7592, 0.7223], [0.2408, 0.2408, 0.2777], [0.3862, 0.3862, 0.8414], [0.8778, 0.8778, 0.3665], [0.1222, 0.1222, 0.6335], [0.6138, 0.6138, 0.1586]]}

{"formula": "Li2SmTmAu4", "functional": "PBE", "state": "relaxed", "e_form_mev_per_atom": -702, "magmom_total_mub_per_cell": 0.00, "energy_ev_per_cell": -31.74, "cell": [[-4.0121, 2.7481, -0.7799], [-2.8400, 1.3436, 3.7929], [1.9810, 7.8454, 1.9017]], "species": ["Li", "Li", "Sm", "Tm", "Au", "Au", "Au", "Au"], "fractional_positions": [[0.7503, 0.7503, 0.7490], [0.2497, 0.2497, 0.2510], [0.0000, 0.0000, 0.0000], [0.5000, 0.5000, 0.5000], [0.3751, 0.3751, 0.8746], [0.8693, 0.8693, 0.3921], [0.1307, 0.1307, 0.6079], [0.6249, 0.6249, 0.1254]]}

{"formula": "LiSmYAu", "functional": "PBE", "state": "relaxed", "e_form_mev_per_atom": -386, "magmom_total_mub_per_cell": 0.00, "energy_ev_per_cell": -17.92, "cell": [[-5.1630, 0.0817, -0.1605], [-2.6171, -4.3038, -1.1479], [-2.7365, -2.4123, 3.6581]], "species": ["Y", "Au", "Sm", "Li"], "fractional_positions": [[0.7500, 0.7500, 0.7500], [0.0000, 0.0000, 0.0000], [0.2500, 0.2500, 0.2500], [0.5000, 0.5000, 0.5000]]}

{"formula": "Li2SmYAu4", "functional": "PBE", "state": "relaxed", "e_form_mev_per_atom": -695, "magmom_total_mub_per_cell": 0.00, "energy_ev_per_cell": -33.68, "cell": [[4.9767, 0.0000, 0.0000], [2.4884, 4.3100, 0.0000], [2.4884, 1.4367, 7.7886]], "species": ["Li", "Li", "Sm", "Y", "Au", "Au", "Au", "Au"], "fractional_positions": [[0.7503, 0.7503, 0.7492], [0.2497, 0.2497, 0.2508], [0.0000, 0.0000, 0.0000], [0.5000, 0.5000, 0.5000], [0.3721, 0.3721, 0.8837], [0.8694, 0.8694, 0.3918], [0.1306, 0.1306, 0.6082], [0.6279, 0.6279, 0.1163]]}

{"formula": "LiSm2Zn4Au3", "functional": "PBE", "state": "relaxed", "e_form_mev_per_atom": -487, "magmom_total_mub_per_cell": 0.00, "energy_ev_per_cell": -31.15, "cell": [[-3.2179, -0.4700, -2.4547], [2.2323, -2.3403, -2.4782], [-3.3205, -9.7541, 6.2206]], "species": ["Li", "Sm", "Sm", "Zn", "Zn", "Zn", "Zn", "Au", "Au", "Au"], "fractional_positions": [[0.5000, 0.5000, 0.5000], [0.5000, 0.0000, 0.2478], [0.0000, 0.5000, 0.7522], [0.5000, 0.5000, 0.0000], [0.0000, 0.0000, 0.0000], [0.5000, 0.0000, 0.6384], [0.0000, 0.5000, 0.3616], [0.0000, 0.0000, 0.5000], [0.5000, 0.0000, 0.8547], [0.0000, 0.5000, 0.1453]]}

{"formula": "LiSmZn2Au2", "functional": "PBE", "state": "relaxed", "e_form_mev_per_atom": -546, "magmom_total_mub_per_cell": 0.00, "energy_ev_per_cell": -19.01, "cell": [[-3.1901, 0.5135, 3.1504], [1.3782, -4.1370, -1.1624], [4.6442, 0.2366, 4.6642]], "species": ["Li", "Sm", "Zn", "Zn", "Au", "Au"], "fractional_positions": [[0.0000, 0.0000, 0.5000], [0.0000, 0.0000, 0.0000], [0.6667, 0.3333, 0.6897], [0.3333, 0.6667, 0.3103], [0.6667, 0.3333, 0.2734], [0.3333, 0.6667, 0.7266]]}

{"formula": "Li2SmZnAu4", "functional": "PBE", "state": "relaxed", "e_form_mev_per_atom": -557, "magmom_total_mub_per_cell": 0.00, "energy_ev_per_cell": -27.39, "cell": [[4.5122, 0.0000, 0.0000], [2.2561, 3.9077, 0.0000], [2.2561, 1.3026, 8.4862]], "species": ["Li", "Li", "Sm", "Zn", "Au", "Au", "Au", "Au"], "fractional_positions": [[0.7629, 0.7629, 0.7113], [0.2371, 0.2371, 0.2887], [0.0000, 0.0000, 0.0000], [0.5000, 0.5000, 0.5000], [0.3969, 0.3969, 0.8094], [0.8722, 0.8722, 0.3833], [0.1278, 0.1278, 0.6167], [0.6031, 0.6031, 0.1906]]}

{"formula": "Li2SmZn2Au2", "functional": "PBE", "state": "relaxed", "e_form_mev_per_atom": -506, "magmom_total_mub_per_cell": 0.00, "energy_ev_per_cell": -21.19, "cell": [[-4.3876, 0.9157, 0.6413], [2.4227, -1.9125, 3.3223], [1.6389, 7.7546, 0.1410]], "species": ["Li", "Li", "Sm", "Zn", "Zn", "Au", "Au"], "fractional_positions": [[0.1410, 0.2820, 0.4218], [0.8590, 0.7180, 0.5782], [0.0000, 0.0000, 0.0000], [0.5752, 0.1503, 0.7276], [0.4248, 0.8497, 0.2724], [0.7439, 0.4878, 0.2306], [0.2561, 0.5122, 0.7694]]}

{"formula": "LiSmZn2Au5", "functional": "PBE", "state": "relaxed", "e_form_mev_per_atom": -365, "magmom_total_mub_per_cell": 0.00, "energy_ev_per_cell": -28.85, "cell": [[-3.5071, 1.3824, -2.4437], [-2.3916, -3.5192, 1.4414], [-2.9956, 4.9415, 7.0944]], "species": ["Li", "Sm", "Zn", "Zn", "Au", "Au", "Au", "Au", "Au"], "fractional_positions": [[0.0000, 0.0000, 0.0000], [0.0000, 0.0000, 0.5000], [0.5000, 0.5000, 0.1308], [0.5000, 0.5000, 0.8692], [0.0000, 0.5000, 0.2715], [0.5000, 0.0000, 0.2715], [0.0000, 0.5000, 0.7285], [0.5000, 0.0000, 0.7285], [0.5000, 0.5000, 0.5000]]}

{"formula": "LiSm2Zn3Au4", "functional": "PBE", "state": "relaxed", "e_form_mev_per_atom": -520, "magmom_total_mub_per_cell": 0.00, "energy_ev_per_cell": -33.48, "cell": [[-3.9433, -0.4658, 1.1225], [0.9631, -3.5223, 1.9217], [2.1419, 6.0635, 10.0405]], "species": ["Li", "Sm", "Sm", "Zn", "Zn", "Zn", "Au", "Au", "Au", "Au"], "fractional_positions": [[0.5000, 0.5000, 0.5000], [0.5000, 0.0000, 0.2442], [0.0000, 0.5000, 0.7558], [0.0000, 0.0000, 0.5000], [0.5000, 0.0000, 0.8629], [0.0000, 0.5000, 0.1371], [0.5000, 0.5000, 0.0000], [0.0000, 0.0000, 0.0000], [0.5000, 0.0000, 0.6466], [0.0000, 0.5000, 0.3534]]}

{"formula": "Li4SnAu", "functional": "PBE", "state": "relaxed", "e_form_mev_per_atom": -404, "magmom_total_mub_per_cell": 0.00, "energy_ev_per_cell": -17.36, "cell": [[3.0490, -0.0002, -0.5888], [-0.0004, 4.6285, -0.0007], [-0.1717, -0.0009, 7.3772]], "species": ["Li", "Li", "Li", "Li", "Sn", "Au"], "fractional_positions": [[0.2690, 0.0028, 0.7808], [0.9535, 0.0030, 0.1505], [0.0653, 0.5024, 0.3759], [0.7231, 0.5025, 0.6961], [0.3917, 0.5031, 0.0310], [0.6163, 0.0024, 0.4768]]}

{"formula": "Li3SnAu", "functional": "PBE", "state": "relaxed", "e_form_mev_per_atom": -412, "magmom_total_mub_per_cell": 0.00, "energy_ev_per_cell": -30.16, "cell": [[-4.9409, 0.3650, -3.7241], [1.1703, -4.6864, 5.9163], [-0.5655, 4.0615, 2.9560]], "species": ["Li", "Li", "Li", "Li", "Li", "Li", "Sn", "Sn", "Au", "Au"], "fractional_positions": [[0.8341, 0.1459, 0.6244], [0.2298, 0.9176, 0.3756], [0.3345, 0.6376, 0.6230], [0.1217, 0.2444, 0.1998], [0.7287, 0.4257, 0.3772], [0.9412, 0.8190, 0.8002], [0.6299, 0.7476, 0.2166], [0.4334, 0.3155, 0.7835], [0.5317, 0.0317, 0.9999], [0.0315, 0.5316, 0.9999]]}

{"formula": "Li8SnAu6", "functional": "PBE", "state": "relaxed", "e_form_mev_per_atom": -398, "magmom_total_mub_per_cell": 0.00, "energy_ev_per_cell": -44.95, "cell": [[7.8904, 0.0000, 0.0000], [3.9452, 6.8333, 0.0000], [3.9452, 2.2778, 5.3146]], "species": ["Li", "Li", "Li", "Li", "Li", "Li", "Li", "Li", "Sn", "Au", "Au", "Au", "Au", "Au", "Au"], "fractional_positions": [[0.5599, 0.2089, 0.3523], [0.7911, 0.1211, 0.6477], [0.1211, 0.4401, 0.6477], [0.6666, 0.6666, 0.0002], [0.3334, 0.3334, 0.9998], [0.8789, 0.5599, 0.3523], [0.2089, 0.8789, 0.3523], [0.4401, 0.7911, 0.6477], [0.0000, 0.0000, 0.0000], [0.3993, 0.0503, 0.8476], [0.9497, 0.2972, 0.1524], [0.2972, 0.6007, 0.1524], [0.7028, 0.3993, 0.8476], [0.0503, 0.7028, 0.8476], [0.6007, 0.9497, 0.1524]]}

{"formula": "LiSn2Au4", "functional": "PBE", "state": "relaxed", "e_form_mev_per_atom": -202, "magmom_total_mub_per_cell": 0.00, "energy_ev_per_cell": -48.88, "cell": [[-4.4638, 1.5387, 2.8157], [-3.1438, -10.8167, 1.1778], [1.0245, -5.1461, 4.5929]], "species": ["Li", "Li", "Sn", "Sn", "Sn", "Sn", "Au", "Au", "Au", "Au", "Au", "Au", "Au", "Au"], "fractional_positions": [[0.7859, 0.2519, 0.3606], [0.2141, 0.7481, 0.6394], [0.6508, 0.8388, 0.8318], [0.3492, 0.1612, 0.1682], [0.2218, 0.2064, 0.6943], [0.7782, 0.7936, 0.3057], [0.1562, 0.9535, 0.7149], [0.2572, 0.7037, 0.2923], [0.5311, 0.5007, 0.7953], [0.8438, 0.0465, 0.2851], [0.0252, 0.4486, 0.8513], [0.9748, 0.5514, 0.1487], [0.4689, 0.4993, 0.2047], [0.7428, 0.2963, 0.7077]]}

{"formula": "LiSn2Au2", "functional": "PBE", "state": "relaxed", "e_form_mev_per_atom": -113, "magmom_total_mub_per_cell": 0.00, "energy_ev_per_cell": -17.04, "cell": [[4.7524, 0.0000, 0.0000], [0.0000, 4.7524, 0.0000], [2.3762, 2.3762, 5.6894]], "species": ["Au", "Au", "Sn", "Sn", "Li"], "fractional_positions": [[0.3809, 0.3809, 0.2383], [0.6191, 0.6191, 0.7617], [0.7500, 0.2500, 0.5000], [0.2500, 0.7500, 0.5000], [0.0000, 0.0000, 0.0000]]}

{"formula": "LiSn2Au2", "functional": "PBE", "state": "relaxed", "e_form_mev_per_atom": -123, "magmom_total_mub_per_cell": 0.00, "energy_ev_per_cell": -17.09, "cell": [[-0.5695, -1.1071, 4.5324], [3.6174, -2.9885, -0.2754], [5.1102, 2.1570, 3.6062]], "species": ["Au", "Au", "Sn", "Sn", "Li"], "fractional_positions": [[0.7500, 0.2500, 0.5000], [0.2500, 0.7500, 0.5000], [0.3755, 0.3755, 0.2491], [0.6245, 0.6245, 0.7509], [0.0000, 0.0000, 0.0000]]}

{"formula": "LiSnAu4", "functional": "PBE", "state": "relaxed", "e_form_mev_per_atom": -210, "magmom_total_mub_per_cell": 0.00, "energy_ev_per_cell": -40.57, "cell": [[5.4347, 0.0000, -0.4719], [0.0000, 7.0871, 0.0000], [-2.2306, -3.5436, 6.0541]], "species": ["Li", "Li", "Sn", "Sn", "Au", "Au", "Au", "Au", "Au", "Au", "Au", "Au"], "fractional_positions": [[0.2419, 0.4601, 0.9201], [0.7581, 0.5399, 0.0799], [0.9014, 0.7924, 0.5848], [0.0986, 0.2076, 0.4152], [0.2829, 0.6728, 0.3457], [0.4148, 0.0882, 0.7583], [0.0000, 0.2059, 0.0000], [0.5852, 0.3299, 0.2417], [0.7171, 0.3272, 0.6543], [0.5852, 0.9118, 0.2417], [0.0000, 0.7941, 0.0000], [0.4148, 0.6701, 0.7583]]}

{"formula": "Li2Sn2Au3", "functional": "PBE", "state": "relaxed", "e_form_mev_per_atom": -356, "magmom_total_mub_per_cell": 0.00, "energy_ev_per_cell": -24.16, "cell": [[4.4275, -0.0102, -1.1417], [-2.4007, 3.9045, -0.0225], [0.0573, -0.0091, 8.1168]], "species": ["Li", "Li", "Sn", "Sn", "Au", "Au", "Au"], "fractional_positions": [[0.7453, 0.3711, 0.1195], [0.2547, 0.6289, 0.8805], [0.2395, 0.1178, 0.3699], [0.7605, 0.8822, 0.6301], [0.0000, 0.0000, 0.0000], [0.5208, 0.2625, 0.7710], [0.4792, 0.7375, 0.2290]]}

{"formula": "Li5SnAu4", "functional": "PBE", "state": "relaxed", "e_form_mev_per_atom": -504, "magmom_total_mub_per_cell": 0.00, "energy_ev_per_cell": -31.72, "cell": [[3.2960, 0.0000, 0.0000], [0.0000, 3.2960, 0.0000], [0.0000, 0.0000, 14.8082]], "species": ["Li", "Li", "Li", "Li", "Li", "Sn", "Au", "Au", "Au", "Au"], "fractional_positions": [[0.5000, 0.5000, 0.1135], [0.5000, 0.5000, 0.3054], [0.5000, 0.5000, 0.5000], [0.5000, 0.5000, 0.6946], [0.5000, 0.5000, 0.8865], [0.0000, 0.0000, 0.0000], [0.0000, 0.0000, 0.2060], [0.0000, 0.0000, 0.4025], [0.0000, 0.0000, 0.5975], [0.0000, 0.0000, 0.7940]]}

{"formula": "LiSn2Au", "functional": "PBE", "state": "relaxed", "e_form_mev_per_atom": -64, "magmom_total_mub_per_cell": 0.00, "energy_ev_per_cell": -13.45, "cell": [[-0.4937, 3.3702, 0.9651], [-0.1945, 0.8483, 3.4316], [9.1098, 2.7155, 1.6713]], "species": ["Au", "Sn", "Sn", "Li"], "fractional_positions": [[0.5000, 0.5000, 0.5000], [0.0966, 0.0966, 0.7102], [0.9034, 0.9034, 0.2898], [0.0000, 0.0000, 0.0000]]}

{"formula": "Li2SnAu3", "functional": "PBE", "state": "relaxed", "e_form_mev_per_atom": -436, "magmom_total_mub_per_cell": 0.00, "energy_ev_per_cell": -40.56, "cell": [[4.5836, -0.0003, 0.0004], [-2.2920, 3.9693, -0.0005], [0.0009, -0.0007, 11.5859]], "species": ["Li", "Li", "Li", "Li", "Sn", "Sn", "Au", "Au", "Au", "Au", "Au", "Au"], "fractional_positions": [[0.0000, 0.0000, 0.5000], [0.3333, 0.6667, 0.1648], [0.6667, 0.3333, 0.8352], [0.0000, 0.0000, 0.0000], [0.3333, 0.6667, 0.6752], [0.6667, 0.3333, 0.3248], [0.3333, 0.6666, 0.4228], [0.6667, 0.3333, 0.0699], [0.0000, 0.0000, 0.7737], [0.0000, 0.0000, 0.2263], [0.3333, 0.6667, 0.9301], [0.6667, 0.3334, 0.5772]]}

{"formula": "Li3SnAu", "functional": "PBE", "state": "relaxed", "e_form_mev_per_atom": -413, "magmom_total_mub_per_cell": 0.00, "energy_ev_per_cell": -30.17, "cell": [[4.6249, -2.9520, 1.6002], [-0.7538, 5.6382, 0.0745], [-1.1459, -2.9297, 6.7730]], "species": ["Li", "Li", "Li", "Li", "Li", "Li", "Sn", "Sn", "Au", "Au"], "fractional_positions": [[0.3132, 0.3288, 0.7478], [0.1373, 0.5385, 0.1760], [0.4867, 0.8505, 0.6311], [0.8627, 0.4615, 0.8240], [0.6868, 0.6712, 0.2522], [0.5133, 0.1495, 0.3689], [0.2719, 0.0666, 0.0439], [0.7281, 0.9334, 0.9561], [0.0695, 0.2733, 0.4487], [0.9305, 0.7267, 0.5513]]}

{"formula": "Li3SnAu4", "functional": "PBE", "state": "relaxed", "e_form_mev_per_atom": -343, "magmom_total_mub_per_cell": 0.00, "energy_ev_per_cell": -25.60, "cell": [[6.3782, -0.4125, -1.2568], [-3.5001, 5.3480, 1.2568], [-3.7338, -1.1296, 5.2167]], "species": ["Li", "Li", "Li", "Sn", "Au", "Au", "Au", "Au"], "fractional_positions": [[0.6988, 0.2883, 0.9872], [0.7160, 0.0000, 0.7160], [0.6988, 0.7117, 0.4105], [0.2115, 0.5000, 0.7115], [0.1996, 0.7649, 0.9645], [0.1996, 0.2351, 0.4347], [0.9708, 0.7575, 0.2133], [0.4558, 0.2425, 0.2133]]}